[1]
The following is a PBE calculation of AcMg4Ag after structural relaxation, from Alexandria via LeMat-Bulk.

```
12
Lattice="8.8345 0.0000 0.0000 0.0000 4.4875 0.0000 0.0000 0.0000 7.8992" Properties=species:S:1:pos:R:3 pbc="T T T"
Ac 2.2086 0.0000 0.8495
Ac 6.6259 0.0000 7.0497
Mg 0.0000 0.0000 3.9496
Mg 0.5274 2.2437 6.2989
Mg 2.2086 2.2437 3.5762
Mg 3.8899 2.2437 6.2989
Mg 4.4173 0.0000 3.9496
Mg 4.9447 2.2437 1.6004
Mg 6.6259 2.2437 4.3231
Mg 8.3071 2.2437 1.6004
Ag 2.2086 0.0000 5.5102
Ag 6.6259 0.0000 2.3891
```

Output
- Energy relative to the lowest polymorph listed for this composition: 0.00 eV/f.u.
- E: -2.38 eV per atom
- Calculated formation energy: -0.160 eV per atom
- Magnetization: 0.000 μB per atom

[2]
The following is a PBE calculation of CaLa2Re after structural relaxation, from Alexandria via LeMat-Bulk.

```
4
Lattice="2.4354 -2.6219 0.0000 2.4354 2.6219 0.0000 0.0000 0.0000 10.0902" Properties=species:S:1:pos:R:3 pbc="T T T"
Ca 0.0000 0.0000 0.0000
La 2.4354 0.0000 3.3082
La 2.4354 0.0000 6.7820
Re 0.0000 0.0000 5.0451
```

Output
- Energy relative to the lowest polymorph listed for this composition: 0.00 eV/f.u.
- E: -5.88 eV per atom
- Calculated formation energy: 0.195 eV per atom
- Magnetization: 0.000 μB per atom

[3]
The following is a PBE calculation of La2GdRh after structural relaxation, from Alexandria via LeMat-Bulk.

```
4
Lattice="1.9270 1.1126 10.6019 -1.9270 1.1126 10.6019 0.0000 -2.2251 10.6019" Properties=species:S:1:pos:R:3 pbc="T T T"
La 0.0000 0.0000 3.5357
La 0.0000 0.0000 28.2700
Gd 0.0000 0.0000 0.0000
Rh 0.0000 0.0000 15.9029
```

Output
- Energy relative to the lowest polymorph listed for this composition: 0.58 eV/f.u.
- E: -7.98 eV per atom
- Calculated formation energy: -0.161 eV per atom
- Magnetization: 2.009 μB per atom

[4]
The following is a PBE calculation of ZrTeOs after structural relaxation, from Alexandria via LeMat-Bulk.

```
3
Lattice="3.3638 0.0000 0.0000 -1.6819 2.9132 0.0000 0.0000 0.0000 6.6278" Properties=species:S:1:pos:R:3 pbc="T T T"
Zr 0.0000 0.0000 0.0000
Te 0.0000 1.9421 4.1766
Os 1.6819 0.9711 1.7719
```

Output
- Energy relative to the elements, uncorrected: 0.5 eV/f.u.
- E: -7.47 eV per atom
- Magnetization: 0.000 μB per atom

[5]
The following is a PBE calculation of TeH2Cl6 after structural relaxation, from Alexandria via LeMat-Bulk.

```
18
Lattice="7.2098 -6.2371 0.0000 7.2098 6.2371 0.0000 -1.1680 0.0000 6.5105" Properties=species:S:1:pos:R:3 pbc="T T T"
Te 6.3337 5.0548 4.8829
Te 6.9177 -5.0548 1.6276
H 5.0547 0.2574 1.2175
H 4.4707 -0.2574 4.4727
H 8.7808 0.2574 2.0378
H 8.1968 -0.2574 5.2930
Cl 0.8582 0.9993 3.9194
Cl 4.7652 3.4501 5.6174
Cl 1.4423 -0.9993 0.6642
Cl 4.8501 1.0008 2.2593
Cl 7.9023 3.4501 4.1483
Cl 4.2661 -1.0008 5.5146
Cl 8.9854 1.0008 0.9959
Cl 5.3492 -3.4501 2.3622
Cl 8.4013 -1.0008 4.2511
Cl 11.8092 0.9993 5.8463
Cl 8.4863 -3.4501 0.8931
Cl 12.3932 -0.9993 2.5910
```

Output
- Energy relative to the lowest polymorph listed for this composition: 0.00 eV/f.u.
- E: -2.88 eV per atom
- Magnetization: 0.000 μB per atom

[6]
The following is a PBE calculation of PBr after structural relaxation, from Alexandria via LeMat-Bulk.

```
12
Lattice="12.8148 0.0000 0.0000 -6.4074 11.0979 0.0000 0.0000 0.0000 3.0699" Properties=species:S:1:pos:R:3 pbc="T T T"
P -0.4775 4.3137 0.7675
P -2.4329 9.3547 0.7675
P 3.4970 2.5704 2.3024
P 2.9104 8.5275 0.7675
P 8.8403 1.7433 2.3024
P 6.8849 6.7843 2.3024
Br -2.4738 7.1860 0.7675
Br 1.4210 5.3625 0.7675
Br 5.3546 1.4506 2.3024
Br 1.0528 9.6473 0.7675
Br 4.9864 5.7354 2.3024
Br 8.8812 3.9119 2.3024
```

Output
- Energy relative to the elements, uncorrected: 1.3 eV/f.u.
- Energy relative to the lowest polymorph listed for this composition: 1.56 eV/f.u.
- E: -2.89 eV per atom
- Magnetization: 0.000 μB per atom

[7]
The following is a PBE calculation of Nb2CrFe after structural relaxation, from Alexandria via LeMat-Bulk.

```
4
Lattice="3.0916 0.0000 0.0000 0.0000 3.0916 0.0000 0.0000 0.0000 6.1353" Properties=species:S:1:pos:R:3 pbc="T T T"
Nb 0.0000 0.0000 1.5277
Nb 0.0000 0.0000 4.6076
Cr 1.5458 1.5458 0.0000
Fe 1.5458 1.5458 3.0676
```

Output
- E: -9.59 eV per atom
- Calculated formation energy: -0.029 eV per atom
- Magnetization: 0.111 μB per atom

[8]
The following is a PBE calculation of Tb2ErZn2Ga2 after structural relaxation, from Alexandria via LeMat-Bulk.

```
7
Lattice="2.2150 1.2788 9.1575 -2.2150 1.2788 9.1575 0.0000 -2.5577 9.1575" Properties=species:S:1:pos:R:3 pbc="T T T"
Tb 0.0000 0.0000 3.4556
Tb 0.0000 0.0000 24.0169
Er 0.0000 0.0000 0.0000
Zn 0.0000 0.0000 10.8548
Zn 0.0000 0.0000 16.6176
Ga 0.0000 0.0000 7.2905
Ga 0.0000 0.0000 20.1819
```

Output
- E: -3.60 eV per atom
- Calculated formation energy: -0.398 eV per atom
- Magnetization: 0.000 μB per atom